Below is a relaxed structure of Al10Ni3, with properties calculated at the PBE level.

Properties
symmetry = No. 166
density = 3.75 g/cm³
ΔE to the lowest computed polymorph = 24 meV per atom

a = 8.6687 Å, b = 8.6687 Å, c = 8.6687 Å
α = 35.59°, β = 35.59°, γ = 35.59°
Fractional coordinates of all 13 atoms:
Al: 0.0489 0.0489 0.0489
Al: 0.0856 0.5832 0.5832
Al: 0.1535 0.1535 0.1535
Al: 0.4168 0.4168 0.9144
Al: 0.4168 0.9144 0.4168
Al: 0.5832 0.0856 0.5832
Al: 0.5832 0.5832 0.0856
Al: 0.8465 0.8465 0.8465
Al: 0.9144 0.4168 0.4168
Al: 0.9511 0.9511 0.9511
Ni: 0.3330 0.3330 0.3330
Ni: 0.5000 0.5000 0.5000
Ni: 0.6670 0.6670 0.6670

Below is a relaxed structure of Lu3NiCN, with properties calculated at the PBE level.

Properties
symmetry = No. 164
density = 10.63 g/cm³
total energy = -82.29 eV for the cell shown

a = 3.4335 Å, b = 3.4335 Å, c = 18.6489 Å
α = 90.00°, β = 90.00°, γ = 120.00°
Fractional coordinates of all 12 atoms:
Lu: 0.0000 0.0000 0.0000
Lu: 0.0000 0.0000 0.5000
Lu: 0.3333 0.6667 0.1439
Lu: 0.3333 0.6667 0.3534
Lu: 0.6667 0.3333 0.6466
Lu: 0.6667 0.3333 0.8561
Ni: 0.0000 0.0000 0.2445
Ni: 0.0000 0.0000 0.7555
C: 0.3333 0.6667 0.5807
C: 0.6667 0.3333 0.4193
N: 0.3333 0.6667 0.9267
N: 0.6667 0.3333 0.0733

Below is a relaxed structure of Ba2ScTcSe6, with properties calculated at the PBE level.

Properties
symmetry = No. 225
density = 5.48 g/cm³
ΔE to the lowest computed polymorph = 0 meV per atom

a = 7.2557 Å, b = 7.2557 Å, c = 7.2557 Å
α = 60.00°, β = 60.00°, γ = 60.00°
Fractional coordinates of all 10 atoms:
Ba: 0.2500 0.2500 0.2500
Ba: 0.7500 0.7500 0.7500
Sc: 0.0000 0.0000 0.0000
Tc: 0.5000 0.5000 0.5000
Se: 0.2551 0.2551 0.7449
Se: 0.2551 0.7449 0.2551
Se: 0.2551 0.7449 0.7449
Se: 0.7449 0.2551 0.2551
Se: 0.7449 0.2551 0.7449
Se: 0.7449 0.7449 0.2551

Below is a relaxed structure of AlCdBi2, with properties calculated at the PBE level.

Properties
symmetry = No. 216
density = 8.42 g/cm³
total energy = -47.16 eV for the cell shown

a = 7.6036 Å, b = 7.6036 Å, c = 7.6036 Å
α = 90.00°, β = 90.00°, γ = 90.00°
Fractional coordinates of all 16 atoms:
Al: 0.0000 0.0000 0.0000
Al: 0.0000 0.5000 0.5000
Al: 0.5000 0.0000 0.5000
Al: 0.5000 0.5000 0.0000
Cd: 0.2500 0.2500 0.2500
Cd: 0.2500 0.7500 0.7500
Cd: 0.7500 0.2500 0.7500
Cd: 0.7500 0.7500 0.2500
Bi: 0.0000 0.0000 0.5000
Bi: 0.0000 0.5000 0.0000
Bi: 0.2500 0.2500 0.7500
Bi: 0.2500 0.7500 0.2500
Bi: 0.5000 0.0000 0.0000
Bi: 0.5000 0.5000 0.5000
Bi: 0.7500 0.2500 0.2500
Bi: 0.7500 0.7500 0.7500